No. 1
Density functional theory data (GGA-PBE) for a relaxed CaHoPb crystal.

```
CaHoPb
1.0
3.7797 0.0000 0.0000
0.0000 5.3467 0.0000
0.0000 -2.6733 4.6304
Ho Ca Pb
1 1 1
direct
0.9165 0.0000 0.0000
0.3767 0.3333 0.6667
0.7068 0.6667 0.3333
```

Results
ρ: 7.3 Mg/m³
E_form: -0.224 eV/atom



No. 2
Density functional theory data (GGA-PBE) for a relaxed Ca3HoPb4 crystal.

```
Ca3HoPb4
1.0
3.5984 0.0000 0.0000
0.0000 3.5984 0.0000
0.0000 0.0000 18.1814
Ca Pb Ho
3 4 1
direct
0.5000 0.5000 0.5000
0.5000 0.5000 0.7511
0.5000 0.5000 0.2489
0.0000 0.0000 0.1206
0.0000 0.0000 0.3737
0.0000 0.0000 0.6263
0.0000 0.0000 0.8794
0.5000 0.5000 0.0000
```

Results
ρ: 7.9 Mg/m³
E_form: -0.501 eV/atom



No. 3
Density functional theory data (GGA-PBE) for a relaxed Ca2HoPb crystal.

```
Ca2HoPb
1.0
5.1474 0.0000 0.0000
0.0000 4.9107 0.0000
0.0000 0.0000 4.9107
Ca Ho Pb
2 1 1
direct
0.0000 0.5000 0.0000
0.0000 0.0000 0.5000
0.5000 0.0000 0.0000
0.5000 0.5000 0.5000
```

Results
ρ: 6.1 Mg/m³
ΔE to the lowest computed polymorph: 0 meV per atom
E_form: -0.273 eV/atom



No. 4
Density functional theory data (GGA-PBE) for a relaxed CaHoPb2 crystal.

```
CaHoPb2
1.0
3.7742 0.0000 0.0000
1.8871 3.2686 0.0000
1.8871 1.0895 9.8713
Pb Ca Ho
2 1 1
direct
0.2509 0.2509 0.2472
0.7491 0.7491 0.7528
0.5000 0.5000 0.5000
0.0000 0.0000 0.0000
```

Results
ρ: 8.4 Mg/m³
E_form: -0.374 eV/atom



Table of spin magnetization (μB/f.u.), in record order: 0.0 0.0 0.0 0.0